Here is a relaxed structure of Ga2TcPd from Alexandria. Energies are from GGA-PBE.

abc: 4.2519 4.2519 3.2176
angles: 90.00 90.00 90.00
Atoms (fractional coordinates):
1 Ga 0.0000 0.5000 0.0000
2 Ga 0.5000 0.0000 0.0000
3 Tc 0.0000 0.0000 0.5000
4 Pd 0.5000 0.5000 0.5000

## Properties
DFT formation energy, kcal/mol of atoms: -9.06
Space-group type: No. 123
DOS(E_F), states/eV/cell: 2.284
Energy above the lowest structure with this stoichiometry, eV per atom: 0.0000